Entry 1:
Density functional theory data (PBE) for a relaxed structure of SrPrIrN2.

Output
Its total moment is 0.218 μB/atom. The total energy comes out at -6.89 eV per atom. Its density of states at the Fermi level is 3.064 states/eV/f.u. Its symmetry is Pccm, No. 49.

a = 5.444 Å, b = 5.458 Å, c = 7.026 Å
α = 90.03°, β = 90.00°, γ = 90.00°
Sites, in units of the cell vectors:
Pr  0.500  0.000  0.250
Pr  0.500  0.000  0.750
N  0.272  0.231  0.000
N  0.728  0.231  0.500
N  0.728  0.769  0.000
N  0.272  0.769  0.500
Sr  0.000  0.500  0.750
Sr  0.000  0.500  0.250
Ir  0.000  0.000  0.500
Ir  0.000  0.000  0.000

Entry 2:
Density functional theory data (PBE) for a relaxed structure of NbTeI2O.

Output
For the energy above the most stable polymorph in this dataset, the calculation gives 1.118 eV per atom. Its total moment is 0.536 μB/atom. Its density of states at the Fermi level is 3.529 states/eV/f.u. Its symmetry is P4/mmm, No. 123.

a = 5.169 Å, b = 5.169 Å, c = 4.564 Å
α = 90.00°, β = 90.00°, γ = 90.00°
Sites, in units of the cell vectors:
I  0.500  0.000  0.000
I  0.000  0.500  0.000
O  0.000  0.000  0.000
Nb  0.500  0.500  0.500
Te  0.000  0.000  0.500

Entry 3:
Density functional theory data (PBE) for a relaxed structure of Cd2InSb.

Output
For the energy above the most stable polymorph in this dataset, the calculation gives 0.033 eV per atom. Its total moment is 0.000 μB/atom. Its density of states at the Fermi level is 1.290 states/eV/f.u. Its symmetry is F-43m, No. 216.

a = 5.313 Å, b = 5.313 Å, c = 5.313 Å
α = 60.00°, β = 60.00°, γ = 60.00°
Sites, in units of the cell vectors:
Cd  0.250  0.250  0.250
Cd  0.000  0.000  0.000
In  0.500  0.500  0.500
Sb  0.750  0.750  0.750

Entry 4:
Density functional theory data (PBE) for a relaxed structure of LiMo2PbBr.

Output
Its total moment is 1.604 μB/atom. The total energy comes out at -4.20 eV per atom. Its density of states at the Fermi level is 1.801 states/eV/f.u. Its symmetry is P4/mmm, No. 123.

a = 5.433 Å, b = 6.140 Å, c = 5.433 Å
α = 90.00°, β = 90.00°, γ = 90.00°
Sites, in units of the cell vectors:
Pb  0.000  0.000  0.000
Mo  0.500  0.000  0.000
Mo  0.000  0.000  0.500
Li  0.500  0.500  0.500
Br  0.000  0.500  0.000

Entry 5:
Density functional theory data (PBE) for a relaxed structure of KBa2Hg2.

Output
For the energy above the most stable polymorph in this dataset, the calculation gives 0.000 eV per atom. Its formation energy is -362 meV per atom. Its total moment is 0.000 μB/atom. Its density of states at the Fermi level is 3.570 states/eV/f.u. Its symmetry is P4/mbm, No. 127.

a = 9.668 Å, b = 9.668 Å, c = 4.531 Å
α = 90.00°, β = 90.00°, γ = 90.00°
Sites, in units of the cell vectors:
Hg  0.640  0.140  0.000
Hg  0.860  0.640  0.000
Hg  0.140  0.360  0.000
Hg  0.360  0.860  0.000
K  0.500  0.500  0.000
K  0.000  0.000  0.000
Ba  0.349  0.151  0.500
Ba  0.849  0.349  0.500
Ba  0.151  0.651  0.500
Ba  0.651  0.849  0.500

Entry 6:
Density functional theory data (PBE) for a relaxed structure of Ce2PaTc.

Output
For the energy above the most stable polymorph in this dataset, the calculation gives 0.000 eV per atom. Its formation energy is -73 meV per atom. Its total moment is 0.001 μB/atom. Its density of states at the Fermi level is 8.335 states/eV/f.u. Its symmetry is P1, No. 1.

a = 4.873 Å, b = 3.441 Å, c = 7.910 Å
α = 90.02°, β = 90.10°, γ = 44.92°
Sites, in units of the cell vectors:
Ce  0.873  0.003  0.544
Ce  0.379  0.999  0.252
Tc  0.880  0.997  0.001
Pa  0.378  0.999  0.813

Entry 7:
Density functional theory data (PBE) for a relaxed structure of Pr2Sm12Er.

Output
Its formation energy is 155 meV per atom. Its total moment is 0.000 μB/atom. Its density of states at the Fermi level is 21.932 states/eV/f.u. Its symmetry is Cmme, No. 67.

a = 6.806 Å, b = 6.806 Å, c = 24.995 Å
α = 90.00°, β = 90.00°, γ = 116.27°
Sites, in units of the cell vectors:
Sm  0.249  0.251  0.925
Sm  0.251  0.751  0.874
Sm  0.774  0.726  0.440
Sm  0.251  0.249  0.075
Sm  0.000  0.000  0.673
Sm  0.000  0.000  0.802
Sm  0.000  0.000  0.198
Sm  0.730  0.230  0.418
Sm  0.751  0.251  0.126
Sm  0.230  0.730  0.582
Sm  0.726  0.774  0.560
Sm  0.249  0.749  0.126
Sm  0.500  0.500  0.802
Sm  0.500  0.500  0.198
Sm  0.500  0.500  0.327
Sm  0.000  0.000  0.327
Sm  0.270  0.770  0.418
Sm  0.770  0.270  0.582
Sm  0.226  0.274  0.440
Sm  0.751  0.749  0.925
Sm  0.500  0.500  0.673
Sm  0.749  0.751  0.075
Sm  0.749  0.249  0.874
Sm  0.274  0.226  0.560
Pr  0.000  0.500  0.735
Pr  0.000  0.500  0.273
Pr  0.500  0.000  0.265
Pr  0.500  0.000  0.727
Er  0.000  0.500  0.000
Er  0.500  0.000  0.000

Entry 8:
Density functional theory data (PBE) for a relaxed structure of BaTiRe2Ru.

Output
Its formation energy is 1853 meV per atom. Its total moment is 0.001 μB/atom. Its density of states at the Fermi level is 8.307 states/eV/f.u. Its symmetry is P4/mmm, No. 123.

a = 4.765 Å, b = 5.303 Å, c = 4.765 Å
α = 90.00°, β = 90.00°, γ = 90.00°
Sites, in units of the cell vectors:
Ti  0.500  0.500  0.500
Ba  0.000  0.500  0.000
Ru  0.000  0.000  0.000
Re  0.500  0.000  0.000
Re  0.000  0.000  0.500

Entry 9:
Density functional theory data (PBE) for a relaxed structure of Ho2Sc2Te2C.

Output
Its total moment is 0.000 μB/atom. The total energy comes out at -6.17 eV per atom. Its density of states at the Fermi level is 8.017 states/eV/f.u. Its symmetry is C2/m, No. 12.

a = 3.811 Å, b = 6.927 Å, c = 6.909 Å
α = 67.71°, β = 90.02°, γ = 74.04°
Sites, in units of the cell vectors:
C  0.000  0.000  0.000
Ho  0.504  0.992  0.239
Ho  0.496  0.008  0.761
Sc  0.818  0.363  0.902
Sc  0.182  0.637  0.098
Te  0.154  0.691  0.628
Te  0.846  0.309  0.372

Entry 10:
Density functional theory data (PBE) for a relaxed structure of AcClO.

Output
For the energy above the most stable polymorph in this dataset, the calculation gives 0.225 eV per atom. Its total moment is 0.000 μB/atom. Its density of states at the Fermi level is 0.000 states/eV/f.u. Its symmetry is P-6m2, No. 187.

a = 4.771 Å, b = 4.126 Å, c = 4.126 Å
α = 120.00°, β = 90.00°, γ = 90.00°
Sites, in units of the cell vectors:
Ac  0.166  0.000  0.000
O  0.167  0.333  0.667
Cl  0.667  0.667  0.333

Copy entry 6 word for word.
Density functional theory data (PBE) for a relaxed structure of Ce2PaTc.

Output
For the energy above the most stable polymorph in this dataset, the calculation gives 0.000 eV per atom. Its formation energy is -73 meV per atom. Its total moment is 0.001 μB/atom. Its density of states at the Fermi level is 8.335 states/eV/f.u. Its symmetry is P1, No. 1.

a = 4.873 Å, b = 3.441 Å, c = 7.910 Å
α = 90.02°, β = 90.10°, γ = 44.92°
Sites, in units of the cell vectors:
Ce  0.873  0.003  0.544
Ce  0.379  0.999  0.252
Tc  0.880  0.997  0.001
Pa  0.378  0.999  0.813

Q: Which formula does entry 7 have?
A: Pr2Sm12Er

Q: Which formula does entry 5 have?
A: KBa2Hg2